Here is crystalline ErNiPb at its relaxed geometry from Alexandria via LeMat-Bulk. Energies are from GGA-PBEsol.

Unit cell a=7.005 b=4.464 c=7.673 alpha=90.00 beta=90.00 gamma=90.00
Space group Pnma (No. 62)
Symmetry-distinct sites (fractional):
Er (0.012, 0.250, 0.200) x4
Ni (0.213, 0.750, 0.416) x4
Pb (0.187, 0.250, 0.587) x4

Energy relative to the elements   -10.48 kcal/mol of atoms
Total DFT energy (no corrections)   -0.2015 hartree per atom
N(E_F)   6.371 states/eV/cell

---

Here is crystalline AgWAu2 at its relaxed geometry from Alexandria via LeMat-Bulk. Energies are from GGA-PBEsol.

Unit cell a=4.110 b=4.110 c=7.714 alpha=90.00 beta=90.00 gamma=90.00
Space group I-4m2 (No. 119)
Symmetry-distinct sites (fractional):
Ag (0.000, 0.000, 0.000) x2
W (0.000, 0.500, 0.750) x2
Au (0.000, 0.000, 0.500) x2
Au (0.000, 0.500, 0.250) x2

Energy relative to the elements   13.02 kcal/mol of atoms
Distance to the lowest polymorph of the same formula   229.7 meV per atom
Total DFT energy (no corrections)   -0.2086 hartree per atom
N(E_F)   7.013 states/eV/cell

---

Here is crystalline Li2Ti2VO6 at its relaxed geometry from Alexandria via LeMat-Bulk. Energies are from GGA-PBEsol.

Unit cell a=6.590 b=6.599 c=8.266 alpha=70.09 beta=70.81 gamma=81.98
Space group P-1 (No. 2)
Symmetry-distinct sites (fractional):
Li (0.003, 0.327, 0.171) x2
Li (0.327, 0.675, 0.496) x2
Li (0.336, 0.998, 0.166) x2
Ti (0.011, 0.319, 0.673) x2
Ti (0.331, 0.671, 0.997) x2
Ti (0.336, 0.322, 0.342) x2
V (0.000, 0.000, 0.000) x1
V (0.322, 0.011, 0.668) x2
O (0.001, 0.997, 0.242) x2
O (0.016, 0.350, 0.419) x2
O (0.017, 0.672, 0.082) x2
O (0.311, 0.656, 0.247) x2
O (0.325, 0.984, 0.918) x2
O (0.328, 0.336, 0.576) x2
O (0.343, 0.687, 0.750) x2
O (0.347, 0.346, 0.093) x2
O (0.354, 0.008, 0.415) x2

Distance to the lowest polymorph of the same formula   0.0 meV per atom
Total DFT energy (no corrections)   -0.3025 hartree per atom
N(E_F)   10.400 states/eV/cell
Uncorrected formation energy   -2.62 eV/atom

---

Here is crystalline Ba2NbTcPb at its relaxed geometry from Alexandria via LeMat-Bulk. Energies are from GGA-PBEsol.

Unit cell a=5.784 b=5.784 c=5.421 alpha=90.00 beta=90.00 gamma=90.00
Space group P4/mmm (No. 123)
Symmetry-distinct sites (fractional):
Ba (0.000, 0.500, 0.000) x2
Nb (0.000, 0.000, 0.000) x1
Tc (0.500, 0.500, 0.500) x1
Pb (0.000, 0.000, 0.500) x1

Energy relative to the elements   34.58 kcal/mol of atoms
Total DFT energy (no corrections)   -0.1682 hartree per atom
N(E_F)   6.687 states/eV/cell

---

Here is crystalline MnIrS2Cl at its relaxed geometry from Alexandria via LeMat-Bulk. Energies are from GGA-PBEsol.

Unit cell a=4.596 b=4.596 c=4.762 alpha=90.00 beta=90.00 gamma=90.00
Space group P4/mmm (No. 123)
Symmetry-distinct sites (fractional):
Mn (0.000, 0.000, 0.000) x1
Ir (0.500, 0.500, 0.500) x1
S (0.000, 0.500, 0.500) x2
Cl (0.500, 0.500, 0.000) x1

Total DFT energy (no corrections)   -0.2054 hartree per atom
N(E_F)   4.167 states/eV/cell
Uncorrected formation energy   0.48 eV/atom

---

Here is crystalline RbTa2Tl2 at its relaxed geometry from Alexandria via LeMat-Bulk. Energies are from GGA-PBEsol.

Unit cell a=5.555 b=5.555 c=8.590 alpha=90.00 beta=90.00 gamma=90.00
Space group I4/mmm (No. 139)
Symmetry-distinct sites (fractional):
Rb (0.000, 0.000, 0.000) x2
Ta (0.000, 0.000, 0.353) x4
Tl (0.000, 0.500, 0.250) x4

Energy relative to the elements   25.98 kcal/mol of atoms
Total DFT energy (no corrections)   -0.1893 hartree per atom
N(E_F)   16.215 states/eV/cell

---

Number 1 is which compound? ErNiPb